The following is a DFT calculation (PBE) of LiRhO2 after structural relaxation.

Calculated values
As for the space group: R3m (160). As for the formation energy (no corrections): -1144 meV per atom.

Structure (extended XYZ):
```
4
Lattice="-1.4081 -0.3935 2.7121 -2.1872 -2.1489 0.3028 2.2835 -4.2053 2.3255" Properties=species:S:1:pos:R:3 pbc="T T T"
Li -0.5695 -3.4572 2.7030
Rh -0.1321 -5.8821 4.3283
O 1.4914 -3.4415 2.0251
O -0.4740 -1.5460 1.2797
```


The following is a DFT calculation (PBE) of LiRhO2 after structural relaxation.

Calculated values
As for the space group: I-42d (122). As for the formation energy (no corrections): -918 meV per atom.

Structure (extended XYZ):
```
8
Lattice="4.7793 0.0000 0.0000 0.0000 4.7793 0.0000 2.3897 2.3897 4.0221" Properties=species:S:1:pos:R:3 pbc="T T T"
Rh 0.0000 0.0000 0.0000
Rh 4.7793 2.3897 2.0110
O 3.5461 1.1948 1.0055
O 1.2332 3.5845 1.0055
O 3.5845 3.6228 3.0166
O 5.9741 5.9358 3.0166
Li 2.3897 2.3897 0.0000
Li 2.3897 4.7793 2.0110
```


The following is a DFT calculation (PBE) of LiRh2O after structural relaxation.

Calculated values
As for the space group: I4_1/amd (141). As for the formation energy (no corrections): 91 meV per atom.

Structure (extended XYZ):
```
8
Lattice="-3.3314 -2.3138 -2.7516 3.4647 -3.0675 -1.6154 -1.1740 -6.6252 2.6272" Properties=species:S:1:pos:R:3 pbc="T T T"
Rh -2.7752 -4.0641 -1.9525
Rh -1.0434 -5.5982 -2.7606
Rh -1.6964 -6.2203 0.7365
Rh -3.3627 -7.3767 -0.6390
O 0.0000 0.0000 0.0000
O -2.2194 -5.8148 -1.1539
Li 0.0666 -2.6906 -2.1835
Li 1.1786 -6.1917 -0.5858
```


The following is a DFT calculation (PBE) of Li3RhO after structural relaxation.

Calculated values
As for the space group: Pm-3m (221). As for the formation energy (no corrections): -624 meV per atom.

Structure (extended XYZ):
```
5
Lattice="3.8392 0.0000 0.0000 0.0000 3.8392 0.0000 0.0000 0.0000 3.8392" Properties=species:S:1:pos:R:3 pbc="T T T"
Rh 1.9196 1.9196 1.9196
O 0.0000 0.0000 0.0000
Li 0.0000 1.9196 0.0000
Li 0.0000 0.0000 1.9196
Li 1.9196 0.0000 0.0000
```


The following is a DFT calculation (PBE) of LiRh3O6 after structural relaxation.

Calculated values
As for the space group: R3 (146). As for the formation energy (no corrections): -897 meV per atom.

Structure (extended XYZ):
```
10
Lattice="4.5495 0.0000 2.4143 1.6342 4.2459 2.4143 -0.0043 -0.0030 5.5019" Properties=species:S:1:pos:R:3 pbc="T T T"
Li 5.3596 3.6801 6.3814
Rh 2.1185 1.4546 6.9953
Rh 4.0707 2.7950 3.3166
Rh 0.9211 0.6325 3.7579
O 5.1724 2.3265 4.9762
O 2.7197 3.9915 4.2813
O 2.9179 1.1044 3.3345
O 0.9606 1.7978 5.3853
O 3.5055 0.2508 6.1720
O 3.1508 3.1814 7.0517
```


The following is a DFT calculation (PBE) of Li2Rh3O6 after structural relaxation.

Calculated values
As for the space group: C2/m (12). As for the formation energy (no corrections): -1065 meV per atom.

Structure (extended XYZ):
```
11
Lattice="-3.2368 1.1491 4.1449 1.7115 -0.7061 5.0278 0.5641 4.8569 1.4690" Properties=species:S:1:pos:R:3 pbc="T T T"
Li 0.9071 2.1402 4.7981
Li -1.8682 3.1597 5.8437
Rh 0.0000 0.0000 0.0000
Rh -0.5252 0.1541 3.0426
Rh -1.0000 0.2889 6.1301
O 0.2604 3.8294 6.1584
O -1.9867 4.6467 4.2520
O 0.8138 3.6644 3.1408
O -0.6859 1.3594 1.3619
O -1.2215 1.4706 4.4833
O -1.7748 1.6356 7.5009
```


The following is a DFT calculation (PBE) of Li3RhO4 after structural relaxation.

Calculated values
As for the space group: P2/c (13). As for the formation energy (no corrections): -1427 meV per atom.

Structure (extended XYZ):
```
16
Lattice="-3.5740 0.6457 -3.6596 0.6344 -5.0132 1.0162 -4.2176 0.3123 4.1740" Properties=species:S:1:pos:R:3 pbc="T T T"
Rh -6.3058 0.7528 0.8431
Rh -1.4858 0.2053 -0.3287
O -6.0450 -0.3938 -0.6900
O -5.4036 -0.5246 2.1002
O -3.1022 -0.8023 -0.0041
O -0.3344 -1.0905 0.6817
O -6.8227 -2.9647 0.8489
O -4.0550 -3.2529 1.5347
O -1.7535 -3.5306 -0.5696
O -1.1121 -3.6614 2.2206
Li -4.2863 0.6032 -1.1555
Li -3.5053 0.3548 1.6699
Li -4.9144 -1.8334 0.2882
Li -2.9309 -1.9803 -1.6748
Li -2.2427 -2.2218 1.2424
Li -4.2262 -2.0749 3.2054
```


The following is a DFT calculation (PBE) of LiRh3O after structural relaxation.

Calculated values
As for the space group: Pm-3m (221). As for the formation energy (no corrections): 1342 meV per atom.

Structure (extended XYZ):
```
5
Lattice="-4.0087 -0.7386 0.6992 0.8147 -0.6299 4.0055 -0.6088 4.0202 0.7560" Properties=species:S:1:pos:R:3 pbc="T T T"
Rh 0.4074 -0.3149 2.0027
Rh -0.3044 2.0101 0.3780
Rh -2.0044 -0.3693 0.3496
O -1.9014 1.3259 2.7304
Li 0.0000 0.0000 0.0000
```


The following is a DFT calculation (PBE) of Li3RhO4 after structural relaxation.

Calculated values
As for the space group: Pmmn (59). As for the formation energy (no corrections): -1328 meV per atom.

Structure (extended XYZ):
```
16
Lattice="-1.2569 3.9166 -0.3119 -1.8655 -1.0339 -5.4658 -6.3881 -1.8485 2.5299" Properties=species:S:1:pos:R:3 pbc="T T T"
Li -2.2640 1.3485 -4.7313
Li -2.9042 -0.8933 -3.0297
Li -2.9457 1.3981 -1.3672
Li -3.5856 -0.8446 0.3345
Li -6.1101 0.4824 -0.1140
Li -6.1279 -1.8262 -1.7530
Rh -0.3806 0.0864 -0.8979
Rh -5.4694 0.4186 -3.4991
O -1.6560 -0.6208 -4.6350
O -1.0828 2.0037 -1.2701
O -2.1210 -0.4938 -1.1694
O -3.7289 0.9987 -3.2275
O -4.7671 -1.4988 -3.1268
O -4.1938 1.1252 0.2381
O -6.6320 0.1586 -2.0778
O -5.6060 -1.5023 0.2108
```


The following is a DFT calculation (PBE) of LiRhO2 after structural relaxation.

Calculated values
As for the space group: Fm-3m (225). As for the formation energy (no corrections): -719 meV per atom.

Structure (extended XYZ):
```
4
Lattice="1.2954 1.1898 3.2508 -1.8277 2.6089 1.8746 -1.7718 -0.8688 3.1252" Properties=species:S:1:pos:R:3 pbc="T T T"
Rh -1.1521 1.4650 4.1253
O -0.5761 0.7325 2.0627
O -1.7282 2.1975 6.1880
Li 0.0000 0.0000 0.0000
```


The following is a DFT calculation (PBE) of Li2RuRh2O6 after structural relaxation.

Calculated values
As for the space group: C2/m (12). As for the formation energy (no corrections): -1079 meV per atom.

Structure (extended XYZ):
```
11
Lattice="-4.5599 -0.1210 2.7868 -0.0335 -0.2690 -5.3385 1.8291 -4.7106 1.1048" Properties=species:S:1:pos:R:3 pbc="T T T"
Li -3.7835 -0.1464 1.3931
Li -0.8099 -0.2436 -3.9448
Ru 0.9146 -2.3553 0.5524
Rh -0.6464 -2.5743 -2.0441
Rh -2.1178 -2.5262 0.5971
O -2.1570 -3.7199 -1.1339
O 1.0297 -3.4838 -1.1960
O -0.6072 -1.3806 -0.3131
O -0.5286 -3.4329 1.6012
O -3.7939 -1.6167 -0.2509
O -2.2356 -1.6677 -3.0482
```


The following is a DFT calculation (PBE) of Li2RuRhO6 after structural relaxation.

Calculated values
As for the space group: P4mm (99). As for the formation energy (no corrections): -943 meV per atom.

Structure (extended XYZ):
```
10
Lattice="-1.2887 -3.0053 2.1371 3.8540 -3.2778 -2.2855 3.5515 1.3545 4.0464" Properties=species:S:1:pos:R:3 pbc="T T T"
Li 0.7958 -4.2771 0.7332
Li 0.6445 -1.9609 3.8992
Ru -0.8421 -1.9639 1.3965
Rh 2.8175 -3.0263 2.3486
O 0.8511 -2.6820 2.0027
O 2.6756 -1.9861 4.0814
O 3.4418 -1.5702 1.3132
O -0.2589 -0.6037 0.4293
O 4.6555 -3.6700 2.9073
O 2.8310 -4.3658 0.8286
```


The following is a DFT calculation (PBE) of LiRuRhO6 after structural relaxation.

Calculated values
As for the space group: P-31c (163). As for the formation energy (no corrections): -861 meV per atom.

Structure (extended XYZ):
```
18
Lattice="5.2184 0.0000 0.0000 -2.6092 4.5193 0.0000 0.0000 0.0000 9.0174" Properties=species:S:1:pos:R:3 pbc="T T T"
Li 0.0000 0.0000 0.0000
Li 0.0000 0.0000 4.5087
Ru 2.6092 1.5064 2.2544
Ru 0.0000 3.0129 6.7631
Rh 0.0000 3.0129 2.2544
Rh 2.6092 1.5064 6.7631
O 1.6625 2.8105 1.2166
O 4.2119 1.6743 1.2166
O -0.6560 4.4848 5.7253
O -1.6027 2.8450 7.8008
O 1.0065 1.6743 3.2921
O 3.5560 2.8105 3.2921
O 0.6560 4.4848 7.8008
O 3.2652 0.0345 3.2921
O -0.9468 1.7088 5.7253
O 1.9532 0.0345 1.2166
O 1.6027 2.8450 5.7253
O 0.9467 1.7088 7.8008
```


The following is a DFT calculation (PBE) of LiRhS2O8 after structural relaxation.

Calculated values
As for the space group: P-3 (147). As for the formation energy (no corrections): -1220 meV per atom.

Structure (extended XYZ):
```
12
Lattice="4.7408 0.0000 0.0000 -2.3704 4.1056 0.0000 0.0000 0.0000 7.5439" Properties=species:S:1:pos:R:3 pbc="T T T"
Li 0.0000 0.0000 0.0000
Rh 0.0000 0.0000 3.7720
S 2.3704 1.3685 1.9887
S 0.0000 2.7371 5.5553
O 0.0000 2.7371 7.0132
O 0.9466 1.2750 2.4741
O 3.1633 0.1823 2.4741
O 2.3704 1.3685 0.5307
O -0.7929 3.9233 5.0698
O 1.4238 2.8307 5.0698
O -0.6309 1.4572 5.0698
O 3.0012 2.6484 2.4741
```


The following is a DFT calculation (PBE) of Li3SbRh2O6 after structural relaxation.

Calculated values
As for the space group: C2/m (12). As for the formation energy (no corrections): -1209 meV per atom.

Structure (extended XYZ):
```
12
Lattice="-2.1502 -3.6955 -3.3354 5.3951 0.5426 -0.0518 -0.8828 -2.1631 4.8204" Properties=species:S:1:pos:R:3 pbc="T T T"
Li 3.5864 -1.3070 1.7634
Li -1.2242 -4.0090 -0.3301
Li 1.1811 -2.6580 0.7166
Sb 0.0000 0.0000 0.0000
Rh 2.8938 -0.8623 -1.1403
Rh 0.3512 -2.2905 -2.2468
O 0.6740 -4.7508 0.4579
O 2.2757 -2.8548 -1.5446
O 1.6881 -0.5651 0.9753
O 3.0598 -3.4108 1.4962
O 0.0865 -2.4612 2.9778
O -0.6976 -1.9052 -0.0630
```


The following is a DFT calculation (PBE) of LiSb2RhO8 after structural relaxation.

Calculated values
As for the space group: P-3 (147). As for the formation energy (no corrections): -826 meV per atom.

Structure (extended XYZ):
```
12
Lattice="-1.4913 -5.2810 0.8688 5.0358 1.7565 1.5565 -2.1661 1.4883 5.3284" Properties=species:S:1:pos:R:3 pbc="T T T"
Li -1.0830 0.7441 2.6642
Sb 0.5206 -2.8226 1.5010
Sb 0.8579 0.7864 6.2527
Rh 0.0000 0.0000 0.0000
O 0.0200 -2.5991 6.3659
O -0.8638 -0.0582 5.2969
O -2.6273 -2.3525 5.2209
O 1.3585 0.5629 1.3878
O 2.2423 -1.9780 2.4567
O 4.0058 0.3163 2.5328
O -0.1984 -2.3286 3.2696
O 1.5768 0.2924 4.4841
```


The following is a DFT calculation (PBE) of Li3Sc3RhO8 after structural relaxation.

Calculated values
As for the space group: R-3m (166). As for the formation energy (no corrections): -2484 meV per atom.

Structure (extended XYZ):
```
15
Lattice="6.2014 -0.0001 0.0000 -3.1008 5.3702 -0.0189 0.0000 -3.5636 4.9510" Properties=species:S:1:pos:R:3 pbc="T T T"
Li 0.0000 0.0000 0.0000
Li -1.5504 2.6851 -0.0095
Li 1.5503 2.6851 -0.0095
Sc 3.1007 -1.7818 2.4755
Sc 1.5503 0.9033 2.4660
Sc -1.5504 0.9033 2.4660
Rh 0.0000 -1.7818 2.4755
O 0.0000 1.7944 1.3511
O 3.1007 0.0122 3.5809
O 3.1007 1.8671 1.3478
O -0.0001 -0.0605 3.5842
O 4.7141 -0.9272 1.3577
O -1.6134 2.7338 3.5744
O 1.4874 -0.9271 1.3577
O 1.6133 2.7337 3.5744
```


The following is a DFT calculation (PBE) of LiSc2RhO after structural relaxation.

Calculated values
As for the space group: P4/mmm (123). As for the formation energy (no corrections): -1512 meV per atom.

Structure (extended XYZ):
```
5
Lattice="-3.3473 -2.2480 -1.7419 1.2867 -3.5963 2.1686 -2.1558 0.9711 2.8894" Properties=species:S:1:pos:R:3 pbc="T T T"
Sc 0.6433 -1.7982 1.0843
Sc -1.6737 -1.1240 -0.8710
Rh -2.1082 -2.4366 1.6581
O 0.0000 0.0000 0.0000
Li -1.0779 0.4855 1.4447
```


The following is a DFT calculation (PBE) of Li2ScRhO4 after structural relaxation.

Calculated values
As for the space group: P2/m (10). As for the formation energy (no corrections): -2094 meV per atom.

Structure (extended XYZ):
```
8
Lattice="3.1121 0.0000 0.0000 0.0000 5.1024 0.0835 0.0000 -1.7882 4.9741" Properties=species:S:1:pos:R:3 pbc="T T T"
Li 1.5560 -0.8941 2.4870
Li 0.0000 1.6571 2.5288
Sc 1.5560 2.5512 0.0418
Rh 0.0000 0.0000 0.0000
O 1.5560 0.7531 1.1898
O 1.5560 2.5611 3.8678
O 0.0000 -0.0234 3.8062
O 0.0000 3.3376 1.2514
```


The following is a DFT calculation (PBE) of Li3Sc2RhO6 after structural relaxation.

Calculated values
As for the space group: C2/m (12). As for the formation energy (no corrections): -2382 meV per atom.

Structure (extended XYZ):
```
12
Lattice="5.2898 -0.0041 0.0095 -2.6471 4.5798 0.0095 -0.8728 -1.5113 4.9880" Properties=species:S:1:pos:R:3 pbc="T T T"
Li -1.8580 3.1164 2.5036
Li 3.6279 -0.0519 2.5036
Li 0.8849 1.5322 2.5036
Sc -0.0066 3.0548 0.0095
Sc 2.6492 1.5210 0.0095
Rh 0.0000 0.0000 0.0000
O 2.6491 1.5476 3.8244
O 1.7625 3.0517 1.1950
O -0.8792 1.5168 1.1827
O 0.0166 3.0680 3.8244
O 0.0073 0.0127 3.8121
O 1.7532 -0.0035 1.1827
```